1.
Compound: ZrPtAu
Source: the Open Quantum Materials Database
Functional: GGA-PBE
Structure: relaxed

The structure in extended XYZ format:
```
3
Lattice="-1.016 -2.284 3.752 -3.772 -2.463 0.188 0.247 -4.502 0.035" Properties=species:S:1:pos:R:3 pbc="T T T"
Au -1.135 -2.312 0.994
Pt -3.406 -6.937 2.982
Zr 0.000 0.000 0.000
```

Summary:
SG	No. 216
E_tot	-6.37	eV per atom
ΔE_f	-409	meV/atom
magnetic moment	0.0	μB per formula unit
polymorph energy (0 for the lowest one)	10.72	kcal/mol of atoms



2.
Compound: ZrPt2Au
Source: the Open Quantum Materials Database
Functional: GGA-PBE
Structure: relaxed

The structure in extended XYZ format:
```
4
Lattice="0.000 3.270 3.270 3.270 0.000 3.270 3.270 3.270 0.000" Properties=species:S:1:pos:R:3 pbc="T T T"
Au 1.635 1.635 1.635
Pt 0.000 0.000 0.000
Pt 4.905 4.905 4.905
Zr 3.270 3.270 3.270
```

Summary:
SG	No. 216
E_tot	-6.57	eV per atom
ΔE_f	-590	meV/atom
magnetic moment	0.0	μB per formula unit



3.
Compound: Zr2Pt2Au
Source: the Open Quantum Materials Database
Functional: GGA-PBE
Structure: relaxed

The structure in extended XYZ format:
```
10
Lattice="-5.934 0.476 -4.623 4.420 -1.741 -5.852 -0.640 -3.258 0.486" Properties=species:S:1:pos:R:3 pbc="T T T"
Au 0.000 0.000 0.000
Au -0.757 -0.632 -5.238
Pt -3.164 0.073 -3.676
Pt 0.862 -0.582 -2.766
Pt -2.376 -0.683 -7.709
Pt 1.650 -1.338 -6.799
Zr -1.523 -1.769 -2.278
Zr -3.786 -1.808 -5.522
Zr 1.632 -2.715 -4.467
Zr -0.630 -2.754 -7.711
```

Summary:
SG	No. 127
E_tot	-7.39	eV per atom
ΔE_f	-898	meV/atom
magnetic moment	0.0	μB per formula unit



4.
Compound: PuAu
Source: the Open Quantum Materials Database
Functional: GGA-PBE
Structure: relaxed

The structure in extended XYZ format:
```
2
Lattice="1.694 2.377 3.742 -2.012 4.090 1.321 -2.522 0.216 4.014" Properties=species:S:1:pos:R:3 pbc="T T T"
Au 0.000 0.000 0.000
Pu -0.710 1.671 2.269
```

Summary:
SG	No. 216
E_tot	-8.46	eV per atom
ΔE_f	233	meV/atom
magnetic moment	6.3	μB per formula unit



5.
Compound: PuAu
Source: the Open Quantum Materials Database
Functional: GGA-PBE
Structure: relaxed

The structure in extended XYZ format:
```
2
Lattice="-1.318 1.829 1.611 -0.899 -2.618 -0.146 3.256 -1.353 4.199" Properties=species:S:1:pos:R:3 pbc="T T T"
Au 1.264 -0.668 4.175
Pu -0.224 -1.474 1.489
```

Summary:
SG	No. 187
E_tot	-8.63	eV per atom
ΔE_f	69	meV/atom
magnetic moment	3.7	μB per formula unit



6.
Compound: PuScAu2
Source: the Open Quantum Materials Database
Functional: GGA-PBE
Structure: relaxed

The structure in extended XYZ format:
```
4
Lattice="3.386 0.000 0.000 0.000 3.386 0.000 0.000 0.000 7.534" Properties=species:S:1:pos:R:3 pbc="T T T"
Au 0.000 0.000 1.613
Au 0.000 0.000 5.921
Pu 1.693 1.693 3.767
Sc 1.693 1.693 0.000
```

Summary:
SG	No. 123
E_tot	-7.42	eV per atom
ΔE_f	-671	meV/atom
magnetic moment	5.9	μB per formula unit